A plane-wave DFT calculation with PBE was carried out for a relaxed structure of Sr4SiSeBr2.

Geometry as POSCAR:
```
Sr4SiSeBr2
1.0
7.930 0.000 0.000
0.000 4.597 0.000
-2.655 0.000 7.521
Sr Si Se Br
4 1 1 2
Cartesian
1.230 0.000 1.609
-0.116 2.299 5.919
5.391 2.299 1.602
4.045 0.000 5.912
0.000 2.299 0.000
3.965 0.000 0.000
-1.327 0.000 3.761
2.637 2.299 3.761
```

Calculated values
As for the space group: P2/m (10). Its density of states at the Fermi level is 0.10 states/eV per atom. Its formation energy without anion corrections is -1.45 eV per atom.